Record 1
Computed, not measured: crystalline Nb7Mo at its relaxed geometry at the PBE-GGA level of DFT.

Calculated values
M_tot   0.0 Bohr magnetons per cell
Formation energy   -49 meV/atom

a = 4.6528 Å, b = 4.6528 Å, c = 13.1830 Å
α = 90.00°, β = 90.00°, γ = 90.00°
Closest atoms and distances in Å follow each position.
Space group I4/mmm (No. 139)
Symmetry-distinct sites (fractional):
Nb: 0.0000 0.0000 0.0000 (multiplicity 2)  8 Nb 2.83
Nb: 0.0000 0.0000 0.2495 (multiplicity 4)  8 Nb 2.86-2.87
Nb: 0.0000 0.5000 0.1228 (multiplicity 8)  6 Nb 2.83-2.87, 2 Mo 2.83
Mo: 0.0000 0.0000 0.5000 (multiplicity 2)  8 Nb 2.83


Record 2
Computed, not measured: crystalline Nb2Mo at its relaxed geometry at the PBE-GGA level of DFT.

Calculated values
M_tot   0.0 Bohr magnetons per cell
Formation energy   22 meV/atom
Relative energy among the computed polymorphs   134 meV/atom

a = 2.7881 Å, b = 8.1011 Å, c = 4.6622 Å
α = 90.00°, β = 90.00°, γ = 90.00°
Closest atoms and distances in Å follow each position.
Space group Pnnm (No. 58)
Symmetry-distinct sites (fractional):
Nb: 0.2164 0.1664 0.0000 (multiplicity 4)  3 Mo 2.77-2.81, 7 Nb 2.79-3.04
Mo: 0.0000 0.5000 0.0000 (multiplicity 2)  6 Nb 2.77-2.81, 2 Mo 2.79


Record 3
Computed, not measured: crystalline NbMo5 at its relaxed geometry at the PBE-GGA level of DFT.

Calculated values
M_tot   0.0 Bohr magnetons per cell
Formation energy   -76 meV/atom
Relative energy among the computed polymorphs   2 meV/atom

a = 9.5421 Å, b = 4.5136 Å, c = 5.5122 Å
α = 90.00°, β = 125.16°, γ = 90.00°
Closest atoms and distances in Å follow each position.
Space group C2/m (No. 12)
Symmetry-distinct sites (fractional):
Nb: 0.0000 0.0000 0.0000 (multiplicity 2)  8 Mo 2.76-2.77
Mo: 0.0000 0.0000 0.5000 (multiplicity 2)  6 Mo 2.75-2.76, 2 Nb 2.76
Mo: 0.1650 0.5000 0.4971 (multiplicity 4)  7 Mo 2.75-2.77, 1 Nb 2.77
Mo: 0.1683 0.5000 0.0002 (multiplicity 4)  6 Mo 2.74-2.76, 2 Nb 2.77


DOS(E_F) / states/eV/cell: 22.13 6.64 6.83
Electronic total energy / eV/f.u.: -81.71 -30.90 -64.68